Record 1
A plane-wave DFT calculation with PBE was carried out for La2TbAs after structural relaxation. Values from VASP.

Values from the calculation:
total moment: 1.3 μB per cell
Fermi-level density of states: 4.620 states/eV per cell
density: 6.2 g/cm³
offset from the most stable computed form: 0.0 kJ per mole of atoms

```
&SYSTEM
  ibrav = 0, nat = 4, ntyp = 3
/
ATOMIC_SPECIES
La 138.91 La.upf
Tb 158.93 Tb.upf
As 74.92 As.upf
ATOMIC_POSITIONS crystal
La 0.064 0.064 0.807
La 0.270 0.270 0.191
Tb 0.499 0.499 0.502
As 0.667 0.667 0.000
CELL_PARAMETERS angstrom
-3.455 -1.659 -1.349
0.100 -2.760 -2.982
-0.295 -8.492 5.081
```

Record 2
A plane-wave DFT calculation with PBE was carried out for La3TbAs4 after structural relaxation. Values from VASP.

Values from the calculation:
total moment: 0.0 μB per cell
Fermi-level density of states: 0.600 states/eV per cell
final energy: -6.31 eV/atom
density: 6.4 g/cm³

```
&SYSTEM
  ibrav = 0, nat = 8, ntyp = 3
/
ATOMIC_SPECIES
La 138.91 La.upf
Tb 158.93 Tb.upf
As 74.92 As.upf
ATOMIC_POSITIONS crystal
La 0.000 0.000 0.500
La 0.500 0.500 0.500
La 0.000 0.500 0.000
Tb 0.500 0.000 0.000
As 0.000 0.242 0.242
As 0.500 0.754 0.246
As 0.000 0.758 0.758
As 0.500 0.246 0.754
CELL_PARAMETERS angstrom
-2.163 0.977 -3.611
-6.314 -2.540 3.095
0.759 7.282 1.515
```